# 1
# PBE Ti5Ga2Pt, optimized geometry
data_Ti5Ga2Pt
_symmetry_space_group_name_H-M 'I 4/m c m'
_symmetry_Int_Tables_number 140
_symmetry_space_group_name_Hall '-I 4 2c'
_cell_length_a 6.7966
_cell_length_b 6.7966
_cell_length_c 11.4429
_cell_angle_alpha 90.00
_cell_angle_beta 90.00
_cell_angle_gamma 90.00
loop_
_atom_site_label
_atom_site_fract_x
_atom_site_fract_y
_atom_site_fract_z
Ti1 0.0000 0.0000 0.0000
Ti2 0.1581 0.3419 0.1565
Ga1 0.1378 0.3622 0.5000
Pt1 0.0000 0.0000 0.2500
# * E_tot: -6.908 eV/atom
# * size of the total moment: 0.237 μB per atom
# * calculated formation energy: -462 meV/atom


# 2
# PBE Ti4Ga3Pt, optimized geometry
data_Ti4Ga3Pt
_symmetry_space_group_name_H-M 'I m m m'
_symmetry_Int_Tables_number 71
_symmetry_space_group_name_Hall '-I 2 2'
_cell_length_a 2.7882
_cell_length_b 4.0879
_cell_length_c 24.1260
_cell_angle_alpha 90.00
_cell_angle_beta 90.00
_cell_angle_gamma 90.00
loop_
_atom_site_label
_atom_site_fract_x
_atom_site_fract_y
_atom_site_fract_z
Ti1 0.0000 0.0000 0.1019
Ti2 0.0000 0.0000 0.2189
Ga1 0.0000 0.0000 0.3387
Ga2 0.0000 0.5000 0.0000
Pt1 0.0000 0.5000 0.5000
# * E_tot: -6.129 eV/atom
# * size of the total moment: 0.000 μB per atom
# * calculated formation energy: -291 meV/atom


# 3
# PBE Ti2GaPt3, optimized geometry
data_Ti2GaPt3
_symmetry_space_group_name_H-M 'P -1'
_symmetry_Int_Tables_number 2
_cell_length_a 2.8004
_cell_length_b 4.7978
_cell_length_c 7.1759
_cell_angle_alpha 105.68
_cell_angle_beta 90.01
_cell_angle_gamma 90.09
loop_
_symmetry_equiv_pos_as_xyz
'x,y,z'
'-x,-y,-z'
loop_
_atom_site_label
_atom_site_fract_x
_atom_site_fract_y
_atom_site_fract_z
Ti1 0.0010 0.2374 0.3439
Ga1 0.0000 0.5000 0.0000
Pt1 0.5000 0.0000 0.0000
Pt2 0.5004 0.2662 0.6779
# * E_tot: -6.965 eV/atom
# * size of the total moment: 0.000 μB per atom
# * calculated formation energy: -809 meV/atom


# 4
# PBE Ti3Ga5Pt, optimized geometry
data_Ti3Ga5Pt
_symmetry_space_group_name_H-M 'I 4/m c m'
_symmetry_Int_Tables_number 140
_symmetry_space_group_name_Hall '-I 4 2c'
_cell_length_a 7.6730
_cell_length_b 7.6730
_cell_length_c 10.6475
_cell_angle_alpha 90.00
_cell_angle_beta 90.00
_cell_angle_gamma 90.00
loop_
_atom_site_label
_atom_site_fract_x
_atom_site_fract_y
_atom_site_fract_z
Ti1 0.0000 0.0000 0.2500
Ti2 0.1126 0.3874 0.0000
Ga1 0.0000 0.0000 0.0000
Ga2 0.1949 0.3051 0.3609
Pt1 0.0000 0.5000 0.2500
# * E_tot: -5.163 eV/atom
# * size of the total moment: 0.045 μB per atom
# * calculated formation energy: -179 meV/atom